Compound: LaNiP2S
Source: the Alexandria database
Functional: meta-GGA SCAN
Structure: PBEsol geometry

The uncorrected formation energy comes out at 108.0 kJ/mol of atoms.

The structure in CIF format:
```
data_LaNiP2S
_chemical_formula_sum 'La1 Ni1 P2 S1'
_cell_length_a 5.305
_cell_length_b 5.305
_cell_length_c 5.296
_cell_angle_alpha 90.00
_cell_angle_beta 90.00
_cell_angle_gamma 90.00
_symmetry_space_group_name_H-M 'P 4/m m m'
_symmetry_Int_Tables_number 123
_symmetry_space_group_name_Hall '-P 4 2'
loop_
_atom_site_label
_atom_site_fract_x
_atom_site_fract_y
_atom_site_fract_z
_atom_site_occupancy
La1 0.000 0.000 0.000 1
Ni1 0.500 0.500 0.500 1
P1 0.000 0.500 0.000 1
S1 0.000 0.000 0.500 1
```

=====

Compound: La5NiPb3
Source: the Alexandria database
Functional: meta-GGA SCAN
Structure: PBEsol geometry

The value obtained for the final energy is -3.804 Ry/atom.

The structure in CIF format:
```
data_La5NiPb3
_chemical_formula_sum 'La10 Ni2 Pb6'
_cell_length_a 9.5287
_cell_length_b 9.5287
_cell_length_c 7.0007
_cell_angle_alpha 90.00
_cell_angle_beta 90.00
_cell_angle_gamma 120.00
_symmetry_space_group_name_H-M 'P 63/m c m'
_symmetry_Int_Tables_number 193
_symmetry_space_group_name_Hall '-P 6c 2'
loop_
_atom_site_label
_atom_site_fract_x
_atom_site_fract_y
_atom_site_fract_z
_atom_site_occupancy
La1 0.0000 0.2391 0.2500 1
La2 0.3333 0.6667 0.0000 1
Ni1 0.0000 0.0000 0.0000 1
Pb1 0.0000 0.4008 0.7500 1
```

=====

Compound: LaNiPb2
Source: the Alexandria database
Functional: meta-GGA SCAN
Structure: PBEsol geometry

As for the excess energy over the best structure of this formula in the dataset: 0.00 eV per formula unit.

The structure in CIF format:
```
data_LaNiPb2
_chemical_formula_sum 'La3 Ni3 Pb6'
_cell_length_a 4.4553
_cell_length_b 4.4553
_cell_length_c 17.1052
_cell_angle_alpha 90.00
_cell_angle_beta 90.00
_cell_angle_gamma 120.00
_symmetry_space_group_name_H-M 'R -3 m'
_symmetry_Int_Tables_number 166
_symmetry_space_group_name_Hall '-R 3 2"'
loop_
_atom_site_label
_atom_site_fract_x
_atom_site_fract_y
_atom_site_fract_z
_atom_site_occupancy
La1 0.0000 0.0000 0.0000 1
Ni1 0.0000 0.0000 0.5000 1
Pb1 0.0000 0.0000 0.2217 1
```

=====

Compound: LaNiPb2
Source: the Alexandria database
Functional: meta-GGA SCAN
Structure: PBEsol geometry

As for the excess energy over the best structure of this formula in the dataset: 1.38 eV per formula unit.

The structure in CIF format:
```
data_LaNiPb2
_chemical_formula_sum 'La4 Ni4 Pb8'
_cell_length_a 7.314
_cell_length_b 7.314
_cell_length_c 7.314
_cell_angle_alpha 90.00
_cell_angle_beta 90.00
_cell_angle_gamma 90.00
_symmetry_space_group_name_H-M 'F -4 3 m'
_symmetry_Int_Tables_number 216
_symmetry_space_group_name_Hall 'F -4 2 3'
loop_
_atom_site_label
_atom_site_fract_x
_atom_site_fract_y
_atom_site_fract_z
_atom_site_occupancy
La1 0.000 0.000 0.000 1
Ni1 0.250 0.250 0.250 1
Pb1 0.000 0.000 0.500 1
Pb2 0.250 0.250 0.750 1
```

=====

Compound: LaNiPb3
Source: the Alexandria database
Functional: meta-GGA SCAN
Structure: PBEsol geometry

The value obtained for the final energy is -4.120 Ry/atom.

The structure in CIF format:
```
data_LaNiPb3
_chemical_formula_sum 'La1 Ni1 Pb3'
_cell_length_a 5.961
_cell_length_b 5.961
_cell_length_c 5.961
_cell_angle_alpha 90.00
_cell_angle_beta 90.00
_cell_angle_gamma 90.00
_symmetry_space_group_name_H-M 'P m -3 m'
_symmetry_Int_Tables_number 221
_symmetry_space_group_name_Hall '-P 4 2 3'
loop_
_atom_site_label
_atom_site_fract_x
_atom_site_fract_y
_atom_site_fract_z
_atom_site_occupancy
La1 0.000 0.000 0.000 1
Ni1 0.500 0.500 0.500 1
Pb1 0.000 0.000 0.500 1
```

=====

Compound: La3NiPb
Source: the Alexandria database
Functional: meta-GGA SCAN
Structure: PBEsol geometry

The value obtained for the final energy is -3.290 Ry/atom.

The structure in CIF format:
```
data_La3NiPb
_chemical_formula_sum 'La3 Ni1 Pb1'
_cell_length_a 5.326
_cell_length_b 5.326
_cell_length_c 5.326
_cell_angle_alpha 90.00
_cell_angle_beta 90.00
_cell_angle_gamma 90.00
_symmetry_space_group_name_H-M 'P m -3 m'
_symmetry_Int_Tables_number 221
_symmetry_space_group_name_Hall '-P 4 2 3'
loop_
_atom_site_label
_atom_site_fract_x
_atom_site_fract_y
_atom_site_fract_z
_atom_site_occupancy
La1 0.000 0.000 0.500 1
Ni1 0.000 0.000 0.000 1
Pb1 0.500 0.500 0.500 1
```

=====

Question: Number 3 is which compound?
Answer: LaNiPb2